Material: YTcPt
Method: DFT, PBE-GGA
State: relaxed

Cell lengths 4.374, 4.374, 3.755 Å; angles 90.00, 90.00, 120.00 degrees
Positions (direct):
Y 0.000 0.000 0.000
Tc 0.667 0.333 0.500
Pt 0.333 0.667 0.500

Formation enthalpy at 0 K   -0.291 eV per atom
Magnetic moment   0.0 μB per cell
N(E_F)   4.3 states/eV/f.u.
Energy   -23.7 eV/cell

***

Material: Pm2ErTmS4
Method: DFT, PBE-GGA
State: relaxed

Cell lengths 6.766, 3.883, 6.975 Å; angles 90.00, 108.69, 90.00 degrees
Positions (direct):
Pm 0.000 0.000 0.000
Pm 0.500 0.500 0.000
Er 0.000 0.500 0.500
Tm 0.500 0.000 0.500
S 0.245 0.000 0.732
S 0.257 0.500 0.268
S 0.743 0.500 0.732
S 0.755 0.000 0.268

Uncorrected formation energy   -1540 kJ/mol of formula units
Magnetic moment   0.0 μB per cell
N(E_F)   3.9 states/eV/f.u.
Energy   -51.0 eV/cell

***

Material: AgB2Rh2
Method: DFT, PBE-GGA
State: relaxed

Cell lengths 7.441, 7.441, 7.441 Å; angles 157.35, 157.35, 32.25 degrees
Positions (direct):
Ag 0.000 0.000 0.000
B 0.250 0.750 0.500
B 0.750 0.250 0.500
Rh 0.357 0.357 0.000
Rh 0.643 0.643 0.000

Formation enthalpy at 0 K   -0.111 eV per atom
Magnetic moment   0.0 μB per cell
N(E_F)   1.7 states/eV/f.u.
Energy   -31.5 eV/cell

***

Material: InCoIN2
Method: DFT, PBE-GGA
State: relaxed

Cell lengths 4.094, 4.094, 6.274 Å; angles 90.00, 90.00, 90.00 degrees
Positions (direct):
In 0.000 0.000 0.000
Co 0.500 0.500 0.500
I 0.000 0.000 0.500
N 0.000 0.500 0.000
N 0.500 0.000 0.000

Uncorrected formation energy   838 kJ/mol of formula units
Magnetic moment   4.9 μB per cell
N(E_F)   4.7 states/eV/f.u.
Energy   -19.4 eV/cell

***

Material: Ta2CdPt
Method: DFT, PBE-GGA
State: relaxed

Cell lengths 3.563, 3.563, 5.720 Å; angles 90.00, 90.00, 90.00 degrees
Positions (direct):
Ta 0.000 0.000 0.229
Ta 0.000 0.000 0.771
Cd 0.500 0.500 0.500
Pt 0.500 0.500 0.000

Formation enthalpy at 0 K   0.071 eV per atom
Magnetic moment   0.0 μB per cell
N(E_F)   4.6 states/eV/f.u.
Energy   -30.4 eV/cell

***

Material: Na2AsI
Method: DFT, PBE-GGA
State: relaxed

Cell lengths 5.484, 5.484, 5.484 Å; angles 60.00, 60.00, 60.00 degrees
Positions (direct):
Na 0.250 0.250 0.250
Na 0.750 0.750 0.750
As 0.000 0.000 0.000
I 0.500 0.500 0.500

Uncorrected formation energy   -106 kJ/mol of formula units
Magnetic moment   2.0 μB per cell
N(E_F)   2.6 states/eV/f.u.
Energy   -9.9 eV/cell